Entry 1:
{"formula": "LiCdSe", "functional": "PBE", "state": "relaxed", "dos_ef_per_ev_cell": 1.62, "e_form_raw_ev_per_atom": -0.42, "total_energy_ha_per_atom": -0.0927, "cell": [[-1.840, 4.433, -1.945], [-5.128, 0.578, -0.444], [3.389, -1.478, 3.627]], "species": ["Li", "Se", "Cd"], "fractional_positions": [[0.313, 0.313, 0.000], [0.681, 0.681, 0.000], [0.006, 0.006, 0.000]]}

Entry 2:
{"formula": "NaMg3Ag4", "functional": "PBE", "state": "relaxed", "dos_ef_per_ev_cell": 3.44, "total_energy_ha_per_atom": -0.0857, "cell": [[-1.639, -4.513, 0.088], [3.066, -3.658, 0.537], [-0.335, -2.280, 7.864]], "species": ["Ag", "Ag", "Ag", "Ag", "Na", "Mg", "Mg", "Mg"], "fractional_positions": [[0.871, 0.871, 0.386], [0.622, 0.622, 0.134], [0.129, 0.129, 0.614], [0.378, 0.378, 0.866], [0.000, 0.000, 0.000], [0.749, 0.749, 0.754], [0.500, 0.500, 0.500], [0.251, 0.251, 0.246]]}

Entry 3:
{"formula": "Ba2VP", "functional": "PBE", "state": "relaxed", "dos_ef_per_ev_cell": 4.22, "total_energy_ha_per_atom": -0.1743, "cell": [[-2.876, 6.651, 9.743], [-1.830, -10.159, 6.395], [-0.113, -1.745, 8.724]], "species": ["P", "P", "Ba", "Ba", "Ba", "Ba", "V", "V"], "fractional_positions": [[0.500, 0.500, 0.000], [0.250, 0.750, 0.500], [0.446, 0.125, 0.250], [0.375, 0.554, 0.750], [0.304, 0.625, 0.250], [0.875, 0.696, 0.750], [0.750, 0.250, 0.500], [0.000, 0.000, 0.000]]}

no.,mass density (kg/m3)
1,5295
2,5686
3,3442